1.
HgTeS2: optimized geometry, GGA-PBE.

crystal system: trigonal
M_tot: 0.00 μB/f.u.
E_form (uncorrected): 0.08 eV/atom
ΔE to the lowest computed polymorph: 0 meV per atom
space group: R3m (160)

Cell: 9.7039 9.7039 9.7039 Å, 22.68 22.68 22.68°
Element x y z (fractional)
Hg1 0.0000 0.0000 0.0000
Te1 0.1686 0.1686 0.1686
S1 0.5568 0.5568 0.5568
S2 0.7805 0.7805 0.7805

***

2.
Hg3Te2S: optimized geometry, GGA-PBE.

crystal system: orthorhombic
M_tot: 0.00 μB/f.u.
E_form (uncorrected): -0.14 eV/atom
space group: Imm2 (44)

Cell: 7.8932 7.8932 7.8932 Å, 146.49 59.62 132.22°
Element x y z (fractional)
Hg1 0.0000 0.0000 0.0000
Hg2 0.3855 0.0377 0.3478
Hg3 0.6899 0.0377 0.6522
Te1 0.1035 0.2698 0.8336
Te2 0.4362 0.2698 0.1664
S1 0.7787 0.2787 0.5000

***

3.
HgTeS3: optimized geometry, GGA-PBE.

crystal system: cubic
M_tot: 0.00 μB/f.u.
E_form (uncorrected): 0.56 eV/atom
ΔE to the lowest computed polymorph: 514 meV per atom
space group: Pm-3m (221)

Cell: 5.0732 5.0732 5.0732 Å, 90.00 90.00 90.00°
Element x y z (fractional)
Hg1 0.0000 0.0000 0.0000
Te1 0.5000 0.5000 0.5000
S1 0.0000 0.5000 0.5000
S2 0.5000 0.0000 0.5000
S3 0.5000 0.5000 0.0000

***

4.
Hg5TeS4: optimized geometry, GGA-PBE.

crystal system: trigonal
M_tot: 0.00 μB/f.u.
E_form (uncorrected): -0.11 eV/atom
space group: P3m1 (156)

Cell: 4.3243 4.3243 35.5517 Å, 90.00 90.00 120.00°
Element x y z (fractional)
Hg1 0.0000 0.0000 0.0000
Hg2 0.0000 0.0000 0.1910
Hg3 0.0000 0.0000 0.3827
Hg4 0.0000 0.0000 0.5742
Hg5 0.0000 0.0000 0.7879
Hg6 0.6667 0.3333 0.0952
Hg7 0.6667 0.3333 0.2869
Hg8 0.6667 0.3333 0.4785
Hg9 0.6667 0.3333 0.6705
Hg10 0.6667 0.3333 0.8835
Te1 0.6667 0.3333 0.7518
Te2 0.6667 0.3333 0.9639
S1 0.0000 0.0000 0.0719
S2 0.0000 0.0000 0.2643
S3 0.0000 0.0000 0.4563
S4 0.0000 0.0000 0.6482
S5 0.0000 0.0000 0.8600
S6 0.6667 0.3333 0.1681
S7 0.6667 0.3333 0.3603
S8 0.6667 0.3333 0.5522

***

5.
HgTeS3: optimized geometry, GGA-PBE.

crystal system: trigonal
M_tot: 0.00 μB/f.u.
E_form (uncorrected): 0.05 eV/atom
ΔE to the lowest computed polymorph: 0 meV per atom
space group: R-3 (148)

Cell: 7.7544 7.7544 7.7544 Å, 51.91 51.91 51.91°
Element x y z (fractional)
Hg1 0.0817 0.0817 0.0817
Hg2 0.9183 0.9183 0.9183
Te1 0.3174 0.3174 0.3174
Te2 0.6826 0.6826 0.6826
S1 0.0729 0.4619 0.7209
S2 0.2791 0.9271 0.5381
S3 0.4619 0.7209 0.0729
S4 0.5381 0.2791 0.9271
S5 0.7209 0.0729 0.4619
S6 0.9271 0.5381 0.2791

***

6.
Hg3Te2S: optimized geometry, GGA-PBE.

crystal system: orthorhombic
M_tot: 0.00 μB/f.u.
E_form (uncorrected): -0.14 eV/atom
space group: Cmc2_1 (36)

Cell: 7.8654 7.8654 7.4433 Å, 90.00 90.00 59.80°
Element x y z (fractional)
Hg1 0.1490 0.8510 0.5000
Hg2 0.1656 0.5237 0.9628
Hg3 0.4763 0.8344 0.9628
Hg4 0.5237 0.1656 0.4628
Hg5 0.8344 0.4763 0.4628
Hg6 0.8510 0.1490 0.0000
Te1 0.1666 0.5070 0.3492
Te2 0.4930 0.8334 0.3492
Te3 0.5070 0.1666 0.8492
Te4 0.8334 0.4930 0.8492
S1 0.1569 0.8431 0.8523
S2 0.8431 0.1569 0.3523

***

7.
Hg12Te3S5: optimized geometry, GGA-PBE.

crystal system: cubic
M_tot: 0.00 μB/f.u.
E_form (uncorrected): 0.07 eV/atom
space group: Ia-3d (230)

Cell: 14.4697 14.4697 14.4697 Å, 109.47 109.47 109.47°
Element x y z (fractional)
Hg1 0.0402 0.2216 0.1092
Hg2 0.0402 0.3186 0.9310
Hg3 0.0690 0.6092 0.3876
Hg4 0.0690 0.9598 0.6814
Hg5 0.1092 0.0402 0.2216
Hg6 0.1092 0.5690 0.8876
Hg7 0.1124 0.7216 0.6814
Hg8 0.1124 0.8908 0.4310
Hg9 0.1814 0.2216 0.6124
Hg10 0.1814 0.4598 0.5690
Hg11 0.2216 0.1092 0.0402
Hg12 0.2216 0.6124 0.1814
Hg13 0.2784 0.3186 0.8876
Hg14 0.2784 0.4598 0.3908
Hg15 0.3186 0.8876 0.2784
Hg16 0.3186 0.9310 0.0402
Hg17 0.3876 0.0690 0.6092
Hg18 0.3876 0.8186 0.7784
Hg19 0.3908 0.2784 0.4598
Hg20 0.3908 0.6124 0.9310
Hg21 0.4310 0.1124 0.8908
Hg22 0.4310 0.8186 0.5402
Hg23 0.4598 0.3908 0.2784
Hg24 0.4598 0.5690 0.1814
Hg25 0.5402 0.4310 0.8186
Hg26 0.5402 0.6092 0.7216
Hg27 0.5690 0.1814 0.4598
Hg28 0.5690 0.8876 0.1092
Hg29 0.6092 0.3876 0.0690
Hg30 0.6092 0.7216 0.5402
Hg31 0.6124 0.1814 0.2216
Hg32 0.6124 0.9310 0.3908
Hg33 0.6814 0.0690 0.9598
Hg34 0.6814 0.1124 0.7216
Hg35 0.7216 0.5402 0.6092
Hg36 0.7216 0.6814 0.1124
Hg37 0.7784 0.3876 0.8186
Hg38 0.7784 0.8908 0.9598
Hg39 0.8186 0.5402 0.4310
Hg40 0.8186 0.7784 0.3876
Hg41 0.8876 0.1092 0.5690
Hg42 0.8876 0.2784 0.3186
Hg43 0.8908 0.4310 0.1124
Hg44 0.8908 0.9598 0.7784
Hg45 0.9310 0.0402 0.3186
Hg46 0.9310 0.3908 0.6124
Hg47 0.9598 0.6814 0.0690
Hg48 0.9598 0.7784 0.8908
Te1 0.1250 0.2500 0.3750
Te2 0.1250 0.3750 0.7500
Te3 0.2500 0.3750 0.1250
Te4 0.2500 0.8750 0.6250
Te5 0.3750 0.1250 0.2500
Te6 0.3750 0.7500 0.1250
Te7 0.6250 0.2500 0.8750
Te8 0.6250 0.8750 0.7500
Te9 0.7500 0.1250 0.3750
Te10 0.7500 0.6250 0.8750
Te11 0.8750 0.6250 0.2500
Te12 0.8750 0.7500 0.6250
S1 0.0000 0.0000 0.0000
S2 0.0000 0.0000 0.5000
S3 0.0000 0.5000 0.0000
S4 0.0000 0.5000 0.5000
S5 0.1250 0.7500 0.8750
S6 0.1250 0.8750 0.2500
S7 0.2500 0.1250 0.8750
S8 0.2500 0.6250 0.3750
S9 0.3750 0.2500 0.6250
S10 0.3750 0.6250 0.7500
S11 0.5000 0.0000 0.0000
S12 0.5000 0.0000 0.5000
S13 0.5000 0.5000 0.0000
S14 0.5000 0.5000 0.5000
S15 0.6250 0.3750 0.2500
S16 0.6250 0.7500 0.3750
S17 0.7500 0.3750 0.6250
S18 0.7500 0.8750 0.1250
S19 0.8750 0.1250 0.7500
S20 0.8750 0.2500 0.1250

***

8.
HgTeS2: optimized geometry, GGA-PBE.

crystal system: cubic
M_tot: 0.00 μB/f.u.
E_form (uncorrected): 0.47 eV/atom
ΔE to the lowest computed polymorph: 385 meV per atom
space group: Fm-3m (225)

Cell: 4.9100 4.9100 4.9100 Å, 60.00 60.00 60.00°
Element x y z (fractional)
Hg1 0.0000 0.0000 0.0000
Te1 0.5000 0.5000 0.5000
S1 0.2500 0.2500 0.2500
S2 0.7500 0.7500 0.7500

***

Repeat the fifth record exactly.
HgTeS3: optimized geometry, GGA-PBE.

crystal system: trigonal
M_tot: 0.00 μB/f.u.
E_form (uncorrected): 0.05 eV/atom
ΔE to the lowest computed polymorph: 0 meV per atom
space group: R-3 (148)

Cell: 7.7544 7.7544 7.7544 Å, 51.91 51.91 51.91°
Element x y z (fractional)
Hg1 0.0817 0.0817 0.0817
Hg2 0.9183 0.9183 0.9183
Te1 0.3174 0.3174 0.3174
Te2 0.6826 0.6826 0.6826
S1 0.0729 0.4619 0.7209
S2 0.2791 0.9271 0.5381
S3 0.4619 0.7209 0.0729
S4 0.5381 0.2791 0.9271
S5 0.7209 0.0729 0.4619
S6 0.9271 0.5381 0.2791

***

Q: Look up the M_tot of the seventh one.
A: 0.00 μB/f.u.

***

Copy entry 3 word for word.
HgTeS3: optimized geometry, GGA-PBE.

crystal system: cubic
M_tot: 0.00 μB/f.u.
E_form (uncorrected): 0.56 eV/atom
ΔE to the lowest computed polymorph: 514 meV per atom
space group: Pm-3m (221)

Cell: 5.0732 5.0732 5.0732 Å, 90.00 90.00 90.00°
Element x y z (fractional)
Hg1 0.0000 0.0000 0.0000
Te1 0.5000 0.5000 0.5000
S1 0.0000 0.5000 0.5000
S2 0.5000 0.0000 0.5000
S3 0.5000 0.5000 0.0000

***

Q: E_form (uncorrected) of number 6 (Hg3Te2S)?
A: -0.14 eV/atom